! Ba3EuCu, optimized geometry, DFT PBE-GGA; values from VASP
! Final energy ... -19.833 eV per formula unit
&SYSTEM
  ibrav = 0, nat = 5, ntyp = 3
/
ATOMIC_SPECIES
Ba 137.33 Ba.upf
Eu 151.96 Eu.upf
Cu 63.55 Cu.upf
CELL_PARAMETERS angstrom
6.411 0.000 0.000
0.000 6.411 0.000
0.000 0.000 6.411
ATOMIC_POSITIONS angstrom
Ba 0.000 0.000 3.206
Ba 0.000 3.206 0.000
Ba 3.206 0.000 0.000
Eu 3.206 3.206 3.206
Cu 0.000 0.000 0.000

=====

! BaEuCu4, optimized geometry, DFT PBE-GGA; values from VASP
! Final energy ... -28.102 eV per formula unit
&SYSTEM
  ibrav = 0, nat = 6, ntyp = 3
/
ATOMIC_SPECIES
Ba 137.33 Ba.upf
Eu 151.96 Eu.upf
Cu 63.55 Cu.upf
CELL_PARAMETERS angstrom
0.000 3.927 3.927
3.927 0.000 3.927
3.927 3.927 0.000
ATOMIC_POSITIONS angstrom
Ba 0.000 0.000 0.000
Eu 1.963 1.963 1.963
Cu 4.871 2.982 2.982
Cu 2.982 4.871 2.982
Cu 2.982 2.982 4.871
Cu 4.871 4.871 4.871

=====

! BaEuCu, optimized geometry, DFT PBE-GGA; values from VASP
! E above lowest polymorph ... 0.000 eV/atom
! Final energy ... -16.271 eV per formula unit
&SYSTEM
  ibrav = 0, nat = 3, ntyp = 3
/
ATOMIC_SPECIES
Ba 137.33 Ba.upf
Eu 151.96 Eu.upf
Cu 63.55 Cu.upf
CELL_PARAMETERS angstrom
-1.933 1.933 7.025
1.933 -1.933 7.025
1.933 1.933 -7.025
ATOMIC_POSITIONS angstrom
Ba 0.000 0.000 0.000
Eu 0.000 0.000 3.623
Cu 0.000 0.000 9.061